## A
A PBEsol-optimized structure of LiHgBr2. Source: Alexandria via LeMat-Bulk, functional meta-GGA SCAN.

## Properties
* theoretical density: 6.14 Mg/m³

abc: 3.915 3.725 6.870
angles: 90.00 97.23 90.00
Atoms (fractional coordinates):
Li: 0.000 0.000 0.000
Hg: 0.500 0.000 0.500
Br: 0.158 0.500 0.767
Br: 0.842 0.500 0.233

## B
A PBEsol-optimized structure of LiHgBr2. Source: Alexandria via LeMat-Bulk, functional meta-GGA SCAN.

## Properties
* theoretical density: 6.36 Mg/m³

abc: 7.312 7.312 7.312
angles: 31.71 31.71 31.71
Atoms (fractional coordinates):
Li: 0.000 0.000 0.000
Hg: 0.500 0.500 0.500
Br: 0.264 0.264 0.264
Br: 0.736 0.736 0.736

Which of them is the most stable, and which is the least stable? B and A, in that order.